VASP calculation (PBE) on a relaxed structure of YNiHg2B.

magnetization	0.00	μB/cell
space-group type	No. 123
calculated total energy	-3.695	eV/atom

Cell lengths 5.0420, 3.8792, 5.0420 Å; angles 90.00, 90.00, 90.00 degrees
Fractional positions:
Y (0.5000, 0.5000, 0.5000)
Ni (0.0000, 0.0000, 0.0000)
B (0.0000, 0.5000, 0.0000)
Hg (0.0000, 0.0000, 0.5000)
Hg (0.5000, 0.0000, 0.0000)